Computed, not measured: an optimized crystal structure of MnTeIr at the PBE level of DFT.

Crystal system: cubic
E_tot (eV/atom): -7.119
Total moment (μB per atom): 1.3308
Space group: F-43m

Unit cell a=4.3720 b=4.3720 c=4.3720 alpha=60.00 beta=60.00 gamma=60.00
Each line ends with the local moment (μB).
Element x y z (fractional)
Ir (0.7500, 0.7500, 0.7500)  0.07
Mn (0.0000, 0.0000, 0.0000)  3.72
Te (0.5000, 0.5000, 0.5000)  -0.03

Computed, not measured: an optimized crystal structure of Mn2Te6Ir at the PBE level of DFT.

Crystal system: trigonal
E_tot (eV/atom): -5.332
Total moment (μB per atom): 0.6484
Space group: P-31m

Unit cell a=5.8676 b=6.8065 c=6.8065 alpha=120.00 beta=90.00 gamma=90.00
Each line ends with the local moment (μB).
Element x y z (fractional)
Mn (0.5000, 0.3333, 0.6667)  3.16
Mn (0.5000, 0.6667, 0.3333)  3.16
Te (0.2525, 0.6683, 0.0000)  -0.10
Te (0.2525, 0.3317, 0.3317)  -0.10
Te (0.2525, 0.0000, 0.6683)  -0.10
Te (0.7475, 0.3317, 0.0000)  -0.10
Te (0.7475, 0.6683, 0.6683)  -0.10
Te (0.7475, 0.0000, 0.3317)  -0.10
Ir (0.5000, 0.0000, 0.0000)  0.00

Computed, not measured: an optimized crystal structure of MnTeIr at the PBE level of DFT.

Crystal system: hexagonal
E_tot (eV/atom): -6.792
Total moment (μB per atom): 1.4054
Space group: P-6m2

Unit cell a=4.5092 b=4.5092 c=3.0664 alpha=90.00 beta=90.00 gamma=120.00
Each line ends with the local moment (μB).
Element x y z (fractional)
Ir (0.0000, 0.0000, 0.8335)  0.24
Mn (0.6667, 0.3333, 0.3331)  3.81
Te (0.3333, 0.6667, 0.8334)  0.00

Computed, not measured: an optimized crystal structure of MnTeIr3 at the PBE level of DFT.

Crystal system: cubic
E_tot (eV/atom): -6.526
Total moment (μB per atom): 0.0000
Space group: Pm-3m

Unit cell a=4.5310 b=4.5310 c=4.5310 alpha=90.00 beta=90.00 gamma=90.00
Element x y z (fractional)
Ir (0.0000, 0.5000, 0.0000)
Ir (0.0000, 0.0000, 0.5000)
Ir (0.5000, 0.0000, 0.0000)
Te (0.5000, 0.5000, 0.5000)
Mn (0.0000, 0.0000, 0.0000)

Computed, not measured: an optimized crystal structure of Mn2TeIr at the PBE level of DFT.

Crystal system: tetragonal
E_tot (eV/atom): -7.377
Total moment (μB per atom): 1.9348
Space group: I4/mmm

Unit cell a=4.9211 b=4.9211 c=4.9211 alpha=131.54 beta=131.65 gamma=70.87
Each line ends with the local moment (μB).
Element x y z (fractional)
Ir (0.2500, 0.7500, 0.5000)  0.36
Mn (0.9999, 0.9999, 0.0000)  3.57
Mn (0.5001, 0.5001, 0.0000)  3.57
Te (0.7500, 0.2500, 0.5000)  -0.05

Computed, not measured: an optimized crystal structure of MnTeIr2 at the PBE level of DFT.

Crystal system: tetragonal
E_tot (eV/atom): -7.127
Total moment (μB per atom): 0.9003
Space group: P4mm

Unit cell a=2.9983 b=2.9983 c=7.5568 alpha=90.00 beta=90.00 gamma=90.00
Each line ends with the local moment (μB).
Element x y z (fractional)
Ir (0.0000, 0.0000, 0.0139)  -0.15
Ir (0.5000, 0.5000, 0.2588)  0.09
Mn (0.0000, 0.0000, 0.4633)  3.52
Te (0.5000, 0.5000, 0.7639)  -0.03

Computed, not measured: an optimized crystal structure of MnTe2Ir at the PBE level of DFT.

Crystal system: trigonal
E_tot (eV/atom): -5.865
Total moment (μB per atom): 1.0254
Space group: R-3m

Unit cell a=8.3115 b=8.3115 c=8.3115 alpha=27.89 beta=27.89 gamma=27.89
Each line ends with the local moment (μB).
Element x y z (fractional)
Ir (0.5000, 0.5000, 0.5000)  -0.02
Te (0.8893, 0.8893, 0.8893)  -0.02
Te (0.1107, 0.1107, 0.1107)  -0.02
Mn (0.0000, 0.0000, 0.0000)  3.98

Computed, not measured: an optimized crystal structure of Mn2TeIr at the PBE level of DFT.

Crystal system: trigonal
E_tot (eV/atom): -7.089
Total moment (μB per atom): 1.5780
Space group: R3m

Unit cell a=8.7928 b=8.7928 c=8.7928 alpha=19.72 beta=19.72 gamma=19.72
Each line ends with the local moment (μB).
Element x y z (fractional)
Ir (0.7394, 0.7394, 0.7394)  0.00
Mn (0.0020, 0.0020, 0.0020)  2.82
Mn (0.2563, 0.2563, 0.2563)  3.34
Te (0.5022, 0.5022, 0.5022)  -0.04

Computed, not measured: an optimized crystal structure of MnTeIr2 at the PBE level of DFT.

Crystal system: tetragonal
E_tot (eV/atom): -6.857
Total moment (μB per atom): 0.0000
Space group: I-42d

Unit cell a=5.7158 b=5.7158 c=6.7141 alpha=64.81 beta=64.81 gamma=90.00
Element x y z (fractional)
Ir (0.5784, 0.1250, 0.2500)
Ir (0.1716, 0.6250, 0.2500)
Ir (0.3750, 0.4216, 0.7500)
Ir (0.8750, 0.8284, 0.7500)
Te (0.0000, 0.0000, 0.0000)
Te (0.7500, 0.2500, 0.5000)
Mn (0.5000, 0.5000, 0.0000)
Mn (0.2500, 0.7500, 0.5000)

Computed, not measured: an optimized crystal structure of Mn2TeIr at the PBE level of DFT.

Crystal system: cubic
E_tot (eV/atom): -7.293
Total moment (μB per atom): 1.2168
Space group: F-43m

Unit cell a=4.4025 b=4.4025 c=4.4025 alpha=60.00 beta=60.00 gamma=60.00
Each line ends with the local moment (μB).
Element x y z (fractional)
Ir (0.5000, 0.5000, 0.5000)  0.29
Mn (0.0000, 0.0000, 0.0000)  0.99
Mn (0.2500, 0.2500, 0.2500)  3.41
Te (0.7500, 0.7500, 0.7500)  0.01

Computed, not measured: an optimized crystal structure of MnTe2Ir at the PBE level of DFT.

Crystal system: tetragonal
E_tot (eV/atom): -5.878
Total moment (μB per atom): 0.9593
Space group: I-42d

Unit cell a=6.0344 b=6.0344 c=7.4450 alpha=66.09 beta=66.09 gamma=90.00
Each line ends with the local moment (μB).
Element x y z (fractional)
Ir (0.0000, 0.0000, 0.0000)  -0.15
Ir (0.7500, 0.2500, 0.5000)  -0.15
Te (0.6391, 0.1250, 0.2500)  -0.06
Te (0.1109, 0.6250, 0.2500)  -0.06
Te (0.3750, 0.3609, 0.7500)  -0.06
Te (0.8750, 0.8891, 0.7500)  -0.06
Mn (0.5000, 0.5000, 0.0000)  3.82
Mn (0.2500, 0.7500, 0.5000)  3.82

Computed, not measured: an optimized crystal structure of MnTeIr2 at the PBE level of DFT.

Crystal system: orthorhombic
E_tot (eV/atom): -7.155
Total moment (μB per atom): 1.0298
Space group: Imm2

Unit cell a=5.4422 b=5.4422 c=5.4422 alpha=146.84 beta=130.39 gamma=60.98
Each line ends with the local moment (μB).
Element x y z (fractional)
Ir (0.0124, 0.0124, 0.0000)  0.15
Ir (0.7487, 0.2487, 0.5000)  0.18
Mn (0.4974, 0.4974, 0.0000)  3.65
Te (0.2416, 0.7416, 0.5000)  -0.02

Computed, not measured: an optimized crystal structure of Mn2TeIr at the PBE level of DFT.

Crystal system: trigonal
E_tot (eV/atom): -7.223
Total moment (μB per atom): 2.0406
Space group: R-3m

Unit cell a=8.0961 b=8.0961 c=8.0961 alpha=23.06 beta=23.06 gamma=23.06
Each line ends with the local moment (μB).
Element x y z (fractional)
Ir (0.7500, 0.7500, 0.7500)  0.77
Mn (0.0057, 0.0057, 0.0057)  3.60
Mn (0.4943, 0.4943, 0.4943)  3.60
Te (0.2500, 0.2500, 0.2500)  -0.11

Computed, not measured: an optimized crystal structure of MnTe2Ir at the PBE level of DFT.

Crystal system: orthorhombic
E_tot (eV/atom): -6.181
Total moment (μB per atom): 0.7618
Space group: Pmm2

Unit cell a=3.8867 b=3.8733 c=6.5235 alpha=90.01 beta=90.00 gamma=90.00
Each line ends with the local moment (μB).
Element x y z (fractional)
Ir (0.0000, 0.3750, 0.6244)  -0.04
Mn (0.5000, 0.8750, 0.6257)  3.09
Te (0.0000, 0.8751, 0.9033)  -0.07
Te (0.5000, 0.3749, 0.3466)  -0.07

Computed, not measured: an optimized crystal structure of MnTeIr at the PBE level of DFT.

Crystal system: orthorhombic
E_tot (eV/atom): -6.797
Total moment (μB per atom): 1.2066
Space group: Fmm2

Unit cell a=4.7649 b=4.7649 c=4.7615 alpha=135.46 beta=135.47 gamma=64.87
Each line ends with the local moment (μB).
Element x y z (fractional)
Ir (0.9940, 0.9940, 0.0000)  0.04
Mn (0.3430, 0.3430, 0.0000)  3.49
Te (0.6631, 0.6631, 0.0000)  -0.08

Computed, not measured: an optimized crystal structure of Mn2TeIr at the PBE level of DFT.

Crystal system: orthorhombic
E_tot (eV/atom): -7.362
Total moment (μB per atom): 1.7464
Space group: Cmmm

Unit cell a=4.6268 b=4.6268 c=3.1694 alpha=90.00 beta=90.00 gamma=107.61
Each line ends with the local moment (μB).
Element x y z (fractional)
Ir (0.0000, 0.5000, 0.5000)  0.27
Mn (0.0000, 0.0000, 0.0000)  3.30
Mn (0.5000, 0.5000, 0.0000)  3.30
Te (0.5000, 0.0000, 0.5000)  -0.12

Computed, not measured: an optimized crystal structure of MnTeIr2 at the PBE level of DFT.

Crystal system: orthorhombic
E_tot (eV/atom): -7.313
Total moment (μB per atom): 0.9377
Space group: Pmmm

Unit cell a=3.0605 b=3.6616 c=5.8476 alpha=90.00 beta=90.00 gamma=90.00
Each line ends with the local moment (μB).
Element x y z (fractional)
Ir (0.0000, 0.0000, 0.0211)  0.06
Ir (0.0000, 0.0000, 0.4789)  0.06
Mn (0.5000, 0.5000, 0.2500)  3.48
Te (0.5000, 0.5000, 0.7500)  -0.02

Computed, not measured: an optimized crystal structure of Mn2TeIr at the PBE level of DFT.

Crystal system: tetragonal
E_tot (eV/atom): -6.826
Total moment (μB per atom): 0.0000
Space group: I-42d

Unit cell a=5.5026 b=5.5026 c=6.7656 alpha=66.00 beta=66.00 gamma=90.00
Element x y z (fractional)
Ir (0.0000, 0.0000, 0.0000)
Ir (0.7500, 0.2500, 0.5000)
Te (0.5000, 0.5000, 0.0000)
Te (0.2500, 0.7500, 0.5000)
Mn (0.6615, 0.1250, 0.2500)
Mn (0.0885, 0.6250, 0.2500)
Mn (0.3750, 0.3385, 0.7500)
Mn (0.8750, 0.9115, 0.7500)

Computed, not measured: an optimized crystal structure of Mn2TeIr at the PBE level of DFT.

Crystal system: tetragonal
E_tot (eV/atom): -7.329
Total moment (μB per atom): 1.6707
Space group: P4mm

Unit cell a=3.4635 b=3.4635 c=5.5092 alpha=90.00 beta=90.00 gamma=90.00
Each line ends with the local moment (μB).
Element x y z (fractional)
Ir (0.5000, 0.5000, 0.7831)  0.00
Mn (0.0000, 0.0000, 0.9884)  3.36
Mn (0.5000, 0.5000, 0.2412)  3.21
Te (0.0000, 0.0000, 0.4872)  -0.11

Computed, not measured: an optimized crystal structure of MnTe4Ir at the PBE level of DFT.

Crystal system: cubic
E_tot (eV/atom): -3.829
Total moment (μB per atom): 0.6553
Space group: F-43m

Unit cell a=6.1154 b=6.1154 c=6.1154 alpha=60.00 beta=60.00 gamma=60.00
Each line ends with the local moment (μB).
Element x y z (fractional)
Mn (0.0000, 0.0000, 0.0000)  4.37
Te (0.8729, 0.3757, 0.3757)  -0.01
Te (0.3757, 0.3757, 0.8729)  -0.01
Te (0.3757, 0.8729, 0.3757)  -0.01
Te (0.3757, 0.3757, 0.3757)  -0.01
Ir (0.7500, 0.7500, 0.7500)  -0.68

Computed, not measured: an optimized crystal structure of MnTeIr2 at the PBE level of DFT.

Crystal system: monoclinic
E_tot (eV/atom): -7.161
Total moment (μB per atom): 0.9475
Space group: P2/m

Unit cell a=4.6614 b=2.9462 c=4.8321 alpha=90.20 beta=90.00 gamma=90.00
Each line ends with the local moment (μB).
Element x y z (fractional)
Ir (0.0000, 0.9917, 0.0124)  0.10
Ir (0.0000, 0.5083, 0.4876)  0.10
Mn (0.5000, 0.2500, 0.2500)  3.46
Te (0.5000, 0.7500, 0.7500)  -0.02

Computed, not measured: an optimized crystal structure of MnTeIr2 at the PBE level of DFT.

Crystal system: trigonal
E_tot (eV/atom): -7.013
Total moment (μB per atom): 0.8641
Space group: R3m

Unit cell a=8.6565 b=8.6565 c=8.6565 alpha=20.10 beta=20.10 gamma=20.10
Each line ends with the local moment (μB).
Element x y z (fractional)
Ir (0.9977, 0.9977, 0.9977)  -0.07
Ir (0.2461, 0.2461, 0.2461)  0.13
Mn (0.5055, 0.5055, 0.5055)  3.27
Te (0.7507, 0.7507, 0.7507)  -0.02

Computed, not measured: an optimized crystal structure of MnTeIr2 at the PBE level of DFT.

Crystal system: monoclinic
E_tot (eV/atom): -7.252
Total moment (μB per atom): 0.9849
Space group: Cm

Unit cell a=4.8473 b=4.8473 c=4.2613 alpha=73.92 beta=73.92 gamma=44.12
Each line ends with the local moment (μB).
Element x y z (fractional)
Ir (0.0023, 0.0023, 0.9508)  0.04
Ir (0.2465, 0.2465, 0.3202)  0.14
Mn (0.5103, 0.5103, 0.4385)  3.59
Te (0.7409, 0.7409, 0.7905)  -0.02

Computed, not measured: an optimized crystal structure of MnTe2Ir at the PBE level of DFT.

Crystal system: trigonal
E_tot (eV/atom): -6.088
Total moment (μB per atom): 0.7670
Space group: R3m

Unit cell a=7.0141 b=7.0141 c=7.0141 alpha=33.25 beta=33.25 gamma=33.25
Each line ends with the local moment (μB).
Element x y z (fractional)
Ir (0.4854, 0.4854, 0.4854)  -0.01
Mn (0.7648, 0.7648, 0.7648)  3.03
Te (0.0317, 0.0317, 0.0317)  -0.09
Te (0.2182, 0.2182, 0.2182)  0.01

Computed, not measured: an optimized crystal structure of Mn3Te8Ir at the PBE level of DFT.

Crystal system: monoclinic
E_tot (eV/atom): -5.330
Total moment (μB per atom): 0.7133
Space group: C2/m

Unit cell a=7.6784 b=7.6741 c=7.7549 alpha=119.23 beta=89.97 gamma=119.99
Each line ends with the local moment (μB).
Element x y z (fractional)
Mn (0.5000, 0.0000, 0.0000)  3.13
Mn (0.5000, 0.5000, 0.0000)  3.17
Mn (0.0000, 0.5000, 0.0000)  3.15
Te (0.2552, 0.5108, 0.7620)  -0.14
Te (0.7448, 0.4892, 0.2380)  -0.14
Te (0.2536, 0.0091, 0.7623)  -0.11
Te (0.7559, 0.0092, 0.7623)  -0.11
Te (0.7563, 0.5120, 0.7619)  -0.12
Te (0.2437, 0.4880, 0.2381)  -0.12
Te (0.2441, 0.9908, 0.2377)  -0.11
Te (0.7464, 0.9909, 0.2377)  -0.11
Ir (0.0000, 0.0000, 0.0000)  -0.01

Computed, not measured: an optimized crystal structure of MnTeIr2 at the PBE level of DFT.

Crystal system: orthorhombic
E_tot (eV/atom): -7.242
Total moment (μB per atom): 1.0376
Space group: Pmm2

Unit cell a=3.0881 b=4.0180 c=5.4375 alpha=90.00 beta=90.00 gamma=90.00
Each line ends with the local moment (μB).
Element x y z (fractional)
Ir (0.0000, 0.0000, 0.9738)  0.09
Ir (0.5000, 0.5000, 0.2892)  0.20
Mn (0.0000, 0.0000, 0.4480)  3.66
Te (0.5000, 0.5000, 0.7890)  0.00

Computed, not measured: an optimized crystal structure of MnTeIr2 at the PBE level of DFT.

Crystal system: tetragonal
E_tot (eV/atom): -7.201
Total moment (μB per atom): 0.9979
Space group: I-4m2

Unit cell a=5.0299 b=5.0299 c=5.0299 alpha=133.86 beta=133.86 gamma=67.31
Each line ends with the local moment (μB).
Element x y z (fractional)
Ir (0.0000, 0.0000, 0.0000)  0.10
Ir (0.2500, 0.7500, 0.5000)  0.16
Mn (0.5000, 0.5000, 0.0000)  3.58
Te (0.7500, 0.2500, 0.5000)  -0.02

Computed, not measured: an optimized crystal structure of MnTeIr2 at the PBE level of DFT.

Crystal system: orthorhombic
E_tot (eV/atom): -7.140
Total moment (μB per atom): 0.8800
Space group: Pmmm

Unit cell a=2.9749 b=4.7688 c=4.6175 alpha=90.00 beta=90.00 gamma=90.00
Each line ends with the local moment (μB).
Element x y z (fractional)
Ir (0.0000, 0.0000, 0.0000)  0.06
Ir (0.5000, 0.5000, 0.0000)  0.07
Mn (0.5000, 0.0000, 0.5000)  3.33
Te (0.0000, 0.5000, 0.5000)  -0.06

Computed, not measured: an optimized crystal structure of MnTe2Ir at the PBE level of DFT.

Crystal system: tetragonal
E_tot (eV/atom): -6.060
Total moment (μB per atom): 0.8398
Space group: P4mm

Unit cell a=3.5573 b=3.5573 c=7.3586 alpha=90.00 beta=90.00 gamma=90.00
Each line ends with the local moment (μB).
Element x y z (fractional)
Ir (0.0000, 0.0000, 0.5280)  -0.06
Mn (0.5000, 0.5000, 0.7209)  3.40
Te (0.0000, 0.0000, 0.8862)  -0.10
Te (0.5000, 0.5000, 0.3649)  -0.05

| no. | density of states at the Fermi level (states/eV/atom) |
| --- | --- |
| 1 | 0.45 |
| 2 | 0.45 |
| 3 | 0.67 |
| 4 | 1.26 |
| 5 | 0.68 |
| 6 | 0.80 |
| 7 | 0.41 |
| 8 | 0.63 |
| 9 | 1.33 |
| 10 | 0.75 |
| 11 | 1.03 |
| 12 | 0.88 |
| 13 | 0.63 |
| 14 | 0.60 |
| 15 | 0.65 |
| 16 | 0.89 |
| 17 | 0.71 |
| 18 | 1.51 |
| 19 | 0.70 |
| 20 | 1.34 |
| 21 | 0.85 |
| 22 | 1.11 |
| 23 | 0.79 |
| 24 | 0.61 |
| 25 | 0.43 |
| 26 | 0.75 |
| 27 | 1.17 |
| 28 | 0.71 |
| 29 | 0.51 |